No. 1
This record from Alexandria via LeMat-Bulk describes a crystal of Si2PtRh relaxed with PBEsol. The functional is SCAN.

Computed properties:
Its formation energy (no corrections) is -0.392 eV/atom. Its crystal system is tetragonal. For the energy above the most stable polymorph in this dataset, the calculation gives 397.0 meV/atom.

Lattice parameters (Å, degrees): 5.3325 5.3325 6.4858 114.27 114.27 90.00
Positions (direct):
1 Rh 0.5000 0.5000 0.0000
2 Rh 0.7500 0.2500 0.5000
3 Pt 0.0000 0.0000 0.0000
4 Pt 0.2500 0.7500 0.5000
5 Si 0.1250 0.1322 0.7500
6 Si 0.8678 0.3750 0.2500
7 Si 0.3822 0.8750 0.2500
8 Si 0.6250 0.6178 0.7500



No. 2
This record from Alexandria via LeMat-Bulk describes a crystal of Si2NiHg relaxed with PBEsol. The functional is SCAN.

Computed properties:
Its formation energy (no corrections) is 0.209 eV/atom. Its crystal system is tetragonal.

Lattice parameters (Å, degrees): 2.8240 2.8240 7.8594 90.00 90.00 90.00
Positions (direct):
1 Si 0.0000 0.0000 0.6790
2 Si 0.0000 0.0000 0.3210
3 Ni 0.5000 0.5000 0.5000
4 Hg 0.5000 0.5000 0.0000



No. 3
This record from Alexandria via LeMat-Bulk describes a crystal of Mg2TlIn relaxed with PBEsol. The functional is SCAN.

Computed properties:
The value obtained for the energy relative to the elements is -0.48 eV per formula unit. Its crystal system is monoclinic.

Lattice parameters (Å, degrees): 3.3741 5.2056 5.6865 100.17 107.26 90.00
Positions (direct):
1 Tl 0.5010 0.5290 0.0021
2 In 0.7474 0.2181 0.4949
3 Mg 0.0013 0.0269 0.0026
4 Mg 0.2502 0.7260 0.5004



No. 4
This record from Alexandria via LeMat-Bulk describes a crystal of MgTlCl relaxed with PBEsol. The functional is SCAN.

Computed properties:
Its formation energy (no corrections) is -0.769 eV/atom. Its crystal system is orthorhombic. For the energy above the most stable polymorph in this dataset, the calculation gives 0.0 meV/atom.

Lattice parameters (Å, degrees): 3.4064 3.4064 7.7720 97.29 97.29 114.87
Positions (direct):
1 Cl 0.9602 0.9602 0.9204
2 Mg 0.3560 0.3560 0.7119
3 Tl 0.6839 0.6839 0.3677



| no. | raw total energy (eV/atom) | ρ (g cm⁻³) |
| --- | --- | --- |
| 1 | -31.391 | 7.838 |
| 2 | -25.884 | 8.358 |
| 3 | -29.044 | 6.516 |
| 4 | -29.205 | 5.517 |